# PBEsol ZrS2IN, optimized geometry
# Calculated volume ... 98.9 Å³/f.u.
# Density ... 4.97 g/cm3
# Formation energy without anion corrections ... 929.5 meV/atom
data_ZrS2IN
_chemical_formula_sum 'Zr1 S2 I1 N1'
_space_group_name_H-M_alt 'P 4/m m m'
_space_group_IT_number 123
_space_group_name_Hall '-P 4 2'
_cell_length_a 5.0553
_cell_length_b 5.0553
_cell_length_c 3.8711
_cell_angle_alpha 90.00
_cell_angle_beta 90.00
_cell_angle_gamma 90.00
loop_
_atom_site_label
_atom_site_type_symbol
_atom_site_fract_x
_atom_site_fract_y
_atom_site_fract_z
_atom_site_occupancy
Zr1 Zr 0.0000 0.0000 0.0000 1
S1 S 0.0000 0.5000 0.5000 1
I1 I 0.5000 0.5000 0.5000 1
N1 N 0.5000 0.5000 0.0000 1

---

# PBEsol ScSbI2N, optimized geometry
# Calculated volume ... 177.3 Å³/f.u.
# Density ... 4.07 g/cm3
# Formation energy without anion corrections ... 711.4 meV/atom
data_ScSbI2N
_chemical_formula_sum 'Sc1 Sb1 I2 N1'
_space_group_name_H-M_alt 'P 4/m m m'
_space_group_IT_number 123
_space_group_name_Hall '-P 4 2'
_cell_length_a 5.5991
_cell_length_b 5.5991
_cell_length_c 5.6553
_cell_angle_alpha 90.00
_cell_angle_beta 90.00
_cell_angle_gamma 90.00
loop_
_atom_site_label
_atom_site_type_symbol
_atom_site_fract_x
_atom_site_fract_y
_atom_site_fract_z
_atom_site_occupancy
Sc1 Sc 0.0000 0.0000 0.0000 1
Sb1 Sb 0.0000 0.0000 0.5000 1
I1 I 0.0000 0.5000 0.0000 1
N1 N 0.5000 0.5000 0.5000 1

---

# PBEsol SbSe2IN, optimized geometry
# Calculated volume ... 116.3 Å³/f.u.
# Density ... 6.01 g/cm3
# Formation energy without anion corrections ... 1057.6 meV/atom
data_SbSe2IN
_chemical_formula_sum 'Sb1 Se2 I1 N1'
_space_group_name_H-M_alt 'P 4/m m m'
_space_group_IT_number 123
_space_group_name_Hall '-P 4 2'
_cell_length_a 5.4570
_cell_length_b 5.4570
_cell_length_c 3.9048
_cell_angle_alpha 90.00
_cell_angle_beta 90.00
_cell_angle_gamma 90.00
loop_
_atom_site_label
_atom_site_type_symbol
_atom_site_fract_x
_atom_site_fract_y
_atom_site_fract_z
_atom_site_occupancy
Sb1 Sb 0.0000 0.0000 0.0000 1
Se1 Se 0.0000 0.5000 0.5000 1
I1 I 0.5000 0.5000 0.5000 1
N1 N 0.5000 0.5000 0.0000 1

---

# PBEsol SrSbI2N, optimized geometry
# Calculated volume ... 262.2 Å³/f.u.
# ΔE to the lowest computed polymorph ... 814 meV/atom
# Density ... 3.02 g/cm3
# Formation energy without anion corrections ... 834.8 meV/atom
data_SrSbI2N
_chemical_formula_sum 'Sr1 Sb1 I2 N1'
_space_group_name_H-M_alt 'P 4/m m m'
_space_group_IT_number 123
_space_group_name_Hall '-P 4 2'
_cell_length_a 6.2912
_cell_length_b 6.2912
_cell_length_c 6.6250
_cell_angle_alpha 90.00
_cell_angle_beta 90.00
_cell_angle_gamma 90.00
loop_
_atom_site_label
_atom_site_type_symbol
_atom_site_fract_x
_atom_site_fract_y
_atom_site_fract_z
_atom_site_occupancy
Sr1 Sr 0.0000 0.0000 0.0000 1
Sb1 Sb 0.0000 0.0000 0.5000 1
I1 I 0.0000 0.5000 0.0000 1
N1 N 0.5000 0.5000 0.5000 1

---

# PBEsol SrSbIN2, optimized geometry
# Calculated volume ... 109.4 Å³/f.u.
# Density ... 5.53 g/cm3
# Formation energy without anion corrections ... 484.6 meV/atom
data_SrSbIN2
_chemical_formula_sum 'Sr1 Sb1 I1 N2'
_space_group_name_H-M_alt 'P 4/m m m'
_space_group_IT_number 123
_space_group_name_Hall '-P 4 2'
_cell_length_a 4.3229
_cell_length_b 4.3229
_cell_length_c 5.8555
_cell_angle_alpha 90.00
_cell_angle_beta 90.00
_cell_angle_gamma 90.00
loop_
_atom_site_label
_atom_site_type_symbol
_atom_site_fract_x
_atom_site_fract_y
_atom_site_fract_z
_atom_site_occupancy
Sr1 Sr 0.0000 0.0000 0.0000 1
Sb1 Sb 0.5000 0.5000 0.5000 1
I1 I 0.5000 0.5000 0.0000 1
N1 N 0.0000 0.5000 0.5000 1

---

# PBEsol SrSbI2N, optimized geometry
# Calculated volume ... 125.0 Å³/f.u.
# ΔE to the lowest computed polymorph ... 0 meV/atom
# Density ... 6.34 g/cm3
# Formation energy without anion corrections ... 21.0 meV/atom
data_SrSbI2N
_chemical_formula_sum 'Sr1 Sb1 I2 N1'
_space_group_name_H-M_alt 'P 4/m m m'
_space_group_IT_number 123
_space_group_name_Hall '-P 4 2'
_cell_length_a 5.0406
_cell_length_b 5.0406
_cell_length_c 4.9185
_cell_angle_alpha 90.00
_cell_angle_beta 90.00
_cell_angle_gamma 90.00
loop_
_atom_site_label
_atom_site_type_symbol
_atom_site_fract_x
_atom_site_fract_y
_atom_site_fract_z
_atom_site_occupancy
Sr1 Sr 0.0000 0.0000 0.0000 1
Sb1 Sb 0.5000 0.5000 0.0000 1
I1 I 0.0000 0.5000 0.5000 1
N1 N 0.5000 0.5000 0.5000 1

---

# PBEsol TaSbI2N, optimized geometry
# Calculated volume ... 123.1 Å³/f.u.
# Density ... 7.69 g/cm3
# Formation energy without anion corrections ... 236.9 meV/atom
data_TaSbI2N
_chemical_formula_sum 'Ta1 Sb1 I2 N1'
_space_group_name_H-M_alt 'P 4/m m m'
_space_group_IT_number 123
_space_group_name_Hall '-P 4 2'
_cell_length_a 5.6275
_cell_length_b 5.6275
_cell_length_c 3.8884
_cell_angle_alpha 90.00
_cell_angle_beta 90.00
_cell_angle_gamma 90.00
loop_
_atom_site_label
_atom_site_type_symbol
_atom_site_fract_x
_atom_site_fract_y
_atom_site_fract_z
_atom_site_occupancy
Ta1 Ta 0.0000 0.0000 0.0000 1
Sb1 Sb 0.5000 0.5000 0.5000 1
I1 I 0.0000 0.5000 0.0000 1
N1 N 0.0000 0.0000 0.5000 1

---

# PBEsol TiSb2IN, optimized geometry
# Calculated volume ... 102.4 Å³/f.u.
# ΔE to the lowest computed polymorph ... 0 meV/atom
# Density ... 7.01 g/cm3
# Formation energy without anion corrections ... 634.4 meV/atom
data_TiSb2IN
_chemical_formula_sum 'Ti1 Sb2 I1 N1'
_space_group_name_H-M_alt 'P 4/m m m'
_space_group_IT_number 123
_space_group_name_Hall '-P 4 2'
_cell_length_a 4.6352
_cell_length_b 4.6352
_cell_length_c 4.7684
_cell_angle_alpha 90.00
_cell_angle_beta 90.00
_cell_angle_gamma 90.00
loop_
_atom_site_label
_atom_site_type_symbol
_atom_site_fract_x
_atom_site_fract_y
_atom_site_fract_z
_atom_site_occupancy
Ti1 Ti 0.0000 0.0000 0.0000 1
Sb1 Sb 0.0000 0.5000 0.5000 1
I1 I 0.5000 0.5000 0.0000 1
N1 N 0.5000 0.5000 0.5000 1

---

# PBEsol TiSb2IN, optimized geometry
# Calculated volume ... 147.2 Å³/f.u.
# ΔE to the lowest computed polymorph ... 461 meV/atom
# Density ... 4.88 g/cm3
# Formation energy without anion corrections ... 1095.8 meV/atom
data_TiSb2IN
_chemical_formula_sum 'Ti1 Sb2 I1 N1'
_space_group_name_H-M_alt 'P 4/m m m'
_space_group_IT_number 123
_space_group_name_Hall '-P 4 2'
_cell_length_a 5.1923
_cell_length_b 5.1923
_cell_length_c 5.4581
_cell_angle_alpha 90.00
_cell_angle_beta 90.00
_cell_angle_gamma 90.00
loop_
_atom_site_label
_atom_site_type_symbol
_atom_site_fract_x
_atom_site_fract_y
_atom_site_fract_z
_atom_site_occupancy
Ti1 Ti 0.0000 0.0000 0.0000 1
Sb1 Sb 0.0000 0.5000 0.0000 1
I1 I 0.0000 0.0000 0.5000 1
N1 N 0.5000 0.5000 0.5000 1

---

# PBEsol TlSbI2N, optimized geometry
# Calculated volume ... 138.5 Å³/f.u.
# ΔE to the lowest computed polymorph ... 293 meV/atom
# Density ... 7.12 g/cm3
# Formation energy without anion corrections ... 537.9 meV/atom
data_TlSbI2N
_chemical_formula_sum 'Tl1 Sb1 I2 N1'
_space_group_name_H-M_alt 'P 4/m m m'
_space_group_IT_number 123
_space_group_name_Hall '-P 4 2'
_cell_length_a 5.7112
_cell_length_b 5.7112
_cell_length_c 4.2473
_cell_angle_alpha 90.00
_cell_angle_beta 90.00
_cell_angle_gamma 90.00
loop_
_atom_site_label
_atom_site_type_symbol
_atom_site_fract_x
_atom_site_fract_y
_atom_site_fract_z
_atom_site_occupancy
Tl1 Tl 0.0000 0.0000 0.0000 1
Sb1 Sb 0.5000 0.5000 0.0000 1
I1 I 0.0000 0.5000 0.5000 1
N1 N 0.5000 0.5000 0.5000 1

---

# PBEsol TlSbI2N, optimized geometry
# Calculated volume ... 214.1 Å³/f.u.
# ΔE to the lowest computed polymorph ... 1130 meV/atom
# Density ... 4.61 g/cm3
# Formation energy without anion corrections ... 1375.2 meV/atom
data_TlSbI2N
_chemical_formula_sum 'Tl1 Sb1 I2 N1'
_space_group_name_H-M_alt 'P 4/m m m'
_space_group_IT_number 123
_space_group_name_Hall '-P 4 2'
_cell_length_a 6.1140
_cell_length_b 6.1140
_cell_length_c 5.7275
_cell_angle_alpha 90.00
_cell_angle_beta 90.00
_cell_angle_gamma 90.00
loop_
_atom_site_label
_atom_site_type_symbol
_atom_site_fract_x
_atom_site_fract_y
_atom_site_fract_z
_atom_site_occupancy
Tl1 Tl 0.0000 0.0000 0.0000 1
Sb1 Sb 0.0000 0.0000 0.5000 1
I1 I 0.0000 0.5000 0.0000 1
N1 N 0.5000 0.5000 0.5000 1

---

# PBEsol TlSbI2N, optimized geometry
# Calculated volume ... 153.3 Å³/f.u.
# ΔE to the lowest computed polymorph ... 0 meV/atom
# Density ... 6.43 g/cm3
# Formation energy without anion corrections ... 245.1 meV/atom
data_TlSbI2N
_chemical_formula_sum 'Tl1 Sb1 I2 N1'
_space_group_name_H-M_alt 'P 4/m m m'
_space_group_IT_number 123
_space_group_name_Hall '-P 4 2'
_cell_length_a 6.2073
_cell_length_b 6.2073
_cell_length_c 3.9786
_cell_angle_alpha 90.00
_cell_angle_beta 90.00
_cell_angle_gamma 90.00
loop_
_atom_site_label
_atom_site_type_symbol
_atom_site_fract_x
_atom_site_fract_y
_atom_site_fract_z
_atom_site_occupancy
Tl1 Tl 0.0000 0.0000 0.0000 1
Sb1 Sb 0.5000 0.5000 0.5000 1
I1 I 0.0000 0.5000 0.5000 1
N1 N 0.5000 0.5000 0.0000 1

---

# PBEsol ZnSbIN2, optimized geometry
# Calculated volume ... 107.4 Å³/f.u.
# Density ... 5.29 g/cm3
# Formation energy without anion corrections ... 1130.9 meV/atom
data_ZnSbIN2
_chemical_formula_sum 'Zn1 Sb1 I1 N2'
_space_group_name_H-M_alt 'P 4/m m m'
_space_group_IT_number 123
_space_group_name_Hall '-P 4 2'
_cell_length_a 4.0053
_cell_length_b 4.0053
_cell_length_c 6.6950
_cell_angle_alpha 90.00
_cell_angle_beta 90.00
_cell_angle_gamma 90.00
loop_
_atom_site_label
_atom_site_type_symbol
_atom_site_fract_x
_atom_site_fract_y
_atom_site_fract_z
_atom_site_occupancy
Zn1 Zn 0.0000 0.0000 0.0000 1
Sb1 Sb 0.5000 0.5000 0.5000 1
I1 I 0.5000 0.5000 0.0000 1
N1 N 0.0000 0.5000 0.5000 1

---

# PBEsol ZrSb2IN, optimized geometry
# Calculated volume ... 104.1 Å³/f.u.
# Density ... 7.59 g/cm3
# Formation energy without anion corrections ... 424.3 meV/atom
data_ZrSb2IN
_chemical_formula_sum 'Zr1 Sb2 I1 N1'
_space_group_name_H-M_alt 'P 4/m m m'
_space_group_IT_number 123
_space_group_name_Hall '-P 4 2'
_cell_length_a 4.6646
_cell_length_b 4.6646
_cell_length_c 4.7840
_cell_angle_alpha 90.00
_cell_angle_beta 90.00
_cell_angle_gamma 90.00
loop_
_atom_site_label
_atom_site_type_symbol
_atom_site_fract_x
_atom_site_fract_y
_atom_site_fract_z
_atom_site_occupancy
Zr1 Zr 0.0000 0.0000 0.0000 1
Sb1 Sb 0.0000 0.5000 0.5000 1
I1 I 0.5000 0.5000 0.0000 1
N1 N 0.5000 0.5000 0.5000 1

---

# PBEsol ScI2N, optimized geometry
# Calculated volume ... 89.2 Å³/f.u.
# Density ... 5.83 g/cm3
# Formation energy without anion corrections ... 466.3 meV/atom
data_ScI2N
_chemical_formula_sum 'Sc4 I8 N4'
_space_group_name_H-M_alt 'F m -3 m'
_space_group_IT_number 225
_space_group_name_Hall '-F 4 2 3'
_cell_length_a 7.0915
_cell_length_b 7.0915
_cell_length_c 7.0915
_cell_angle_alpha 90.00
_cell_angle_beta 90.00
_cell_angle_gamma 90.00
loop_
_atom_site_label
_atom_site_type_symbol
_atom_site_fract_x
_atom_site_fract_y
_atom_site_fract_z
_atom_site_occupancy
Sc1 Sc 0.0000 0.0000 0.0000 1
I1 I 0.2500 0.2500 0.2500 1
N1 N 0.0000 0.0000 0.5000 1

---

# PBEsol SrScIN2, optimized geometry
# Calculated volume ... 104.0 Å³/f.u.
# Density ... 4.59 g/cm3
# Formation energy without anion corrections ... -267.2 meV/atom
data_SrScIN2
_chemical_formula_sum 'Sr1 Sc1 I1 N2'
_space_group_name_H-M_alt 'P 4/m m m'
_space_group_IT_number 123
_space_group_name_Hall '-P 4 2'
_cell_length_a 4.3089
_cell_length_b 4.3089
_cell_length_c 5.6019
_cell_angle_alpha 90.00
_cell_angle_beta 90.00
_cell_angle_gamma 90.00
loop_
_atom_site_label
_atom_site_type_symbol
_atom_site_fract_x
_atom_site_fract_y
_atom_site_fract_z
_atom_site_occupancy
Sr1 Sr 0.0000 0.0000 0.0000 1
Sc1 Sc 0.5000 0.5000 0.5000 1
I1 I 0.5000 0.5000 0.0000 1
N1 N 0.0000 0.5000 0.5000 1

---

# PBEsol ScTaIN2, optimized geometry
# Calculated volume ... 90.0 Å³/f.u.
# Density ... 7.03 g/cm3
# Formation energy without anion corrections ... 51.0 meV/atom
data_ScTaIN2
_chemical_formula_sum 'Sc1 Ta1 I1 N2'
_space_group_name_H-M_alt 'P 4/m m m'
_space_group_IT_number 123
_space_group_name_Hall '-P 4 2'
_cell_length_a 4.0573
_cell_length_b 4.0573
_cell_length_c 5.4652
_cell_angle_alpha 90.00
_cell_angle_beta 90.00
_cell_angle_gamma 90.00
loop_
_atom_site_label
_atom_site_type_symbol
_atom_site_fract_x
_atom_site_fract_y
_atom_site_fract_z
_atom_site_occupancy
Sc1 Sc 0.0000 0.0000 0.0000 1
Ta1 Ta 0.5000 0.5000 0.5000 1
I1 I 0.5000 0.5000 0.0000 1
N1 N 0.0000 0.5000 0.5000 1

---

# PBEsol ScTeI2N, optimized geometry
# Calculated volume ... 131.5 Å³/f.u.
# Density ... 5.56 g/cm3
# Formation energy without anion corrections ... 6.3 meV/atom
data_ScTeI2N
_chemical_formula_sum 'Sc1 Te1 I2 N1'
_space_group_name_H-M_alt 'P 4/m m m'
_space_group_IT_number 123
_space_group_name_Hall '-P 4 2'
_cell_length_a 5.8624
_cell_length_b 5.8624
_cell_length_c 3.8277
_cell_angle_alpha 90.00
_cell_angle_beta 90.00
_cell_angle_gamma 90.00
loop_
_atom_site_label
_atom_site_type_symbol
_atom_site_fract_x
_atom_site_fract_y
_atom_site_fract_z
_atom_site_occupancy
Sc1 Sc 0.0000 0.0000 0.0000 1
Te1 Te 0.5000 0.5000 0.5000 1
I1 I 0.0000 0.5000 0.0000 1
N1 N 0.0000 0.0000 0.5000 1

---

# PBEsol YScIN2, optimized geometry
# Calculated volume ... 106.7 Å³/f.u.
# Density ... 4.50 g/cm3
# Formation energy without anion corrections ... 315.9 meV/atom
data_YScIN2
_chemical_formula_sum 'Y1 Sc1 I1 N2'
_space_group_name_H-M_alt 'P 4/m m m'
_space_group_IT_number 123
_space_group_name_Hall '-P 4 2'
_cell_length_a 4.3273
_cell_length_b 4.3273
_cell_length_c 5.6958
_cell_angle_alpha 90.00
_cell_angle_beta 90.00
_cell_angle_gamma 90.00
loop_
_atom_site_label
_atom_site_type_symbol
_atom_site_fract_x
_atom_site_fract_y
_atom_site_fract_z
_atom_site_occupancy
Y1 Y 0.0000 0.0000 0.0000 1
Sc1 Sc 0.5000 0.5000 0.5000 1
I1 I 0.0000 0.0000 0.5000 1
N1 N 0.0000 0.5000 0.0000 1

---

# PBEsol SiSeI2N, optimized geometry
# Calculated volume ... 124.6 Å³/f.u.
# Density ... 5.00 g/cm3
# Formation energy without anion corrections ... 1003.4 meV/atom
data_SiSeI2N
_chemical_formula_sum 'Si1 Se1 I2 N1'
_space_group_name_H-M_alt 'P 4/m m m'
_space_group_IT_number 123
_space_group_name_Hall '-P 4 2'
_cell_length_a 5.8395
_cell_length_b 5.8395
_cell_length_c 3.6541
_cell_angle_alpha 90.00
_cell_angle_beta 90.00
_cell_angle_gamma 90.00
loop_
_atom_site_label
_atom_site_type_symbol
_atom_site_fract_x
_atom_site_fract_y
_atom_site_fract_z
_atom_site_occupancy
Si1 Si 0.0000 0.0000 0.0000 1
Se1 Se 0.5000 0.5000 0.5000 1
I1 I 0.0000 0.5000 0.5000 1
N1 N 0.5000 0.5000 0.0000 1